(1)
The following is a PBE calculation of Pr4Sm3Y5 after structural relaxation, from Alexandria.

Structure (POSCAR):
```
Pr4Sm3Y5
1.0
0.610 -5.461 4.748
-3.934 -5.463 -5.815
6.239 -6.936 2.334
Y Sm Pr
5 3 4
Direct
0.500 0.500 0.500
0.667 0.831 0.833
0.747 0.500 0.001
0.333 0.169 0.167
0.253 0.500 0.999
0.000 0.500 0.500
0.416 0.831 0.332
0.584 0.169 0.668
0.081 0.169 0.667
0.169 0.832 0.831
0.919 0.831 0.333
0.831 0.168 0.169
```

ΔE_f: 0.18 eV/f.u.
distance to the lowest polymorph of the same formula: 0.00 kcal/mol of atoms
N(E_F): 1.439 states/eV/atom
uncorrected energy: -5.451 eV/atom

=====

(2)
The following is a PBE calculation of CrIrBr2 after structural relaxation, from Alexandria.

Structure (POSCAR):
```
CrIrBr2
1.0
-1.058 0.586 -4.518
4.051 -2.002 -1.209
-1.505 -3.020 -0.039
Ir Br Cr
1 2 1
Direct
0.000 0.500 0.500
0.500 0.500 0.000
0.000 0.000 0.000
0.500 0.000 0.500
```

distance to the lowest polymorph of the same formula: 18.89 kcal/mol of atoms
N(E_F): 1.160 states/eV/atom
ΔE_f (raw): 835 meV/atom
uncorrected energy: -4.623 eV/atom

=====

Calculated V (Å³ per cell), listed in the same order as above: 407; 74